No. 1
Compound: PmDyAl
Source: OQMD via LeMat-Bulk
Functional: GGA-PBE
Structure: relaxed

Results
Total energy in eV per atom: -3.859
M_tot in μB per formula unit: 0.0

Cell and atoms, written as CIF:
```
data_PmDyAl
_chemical_formula_sum 'Pm4 Dy4 Al4'
_space_group_name_H-M_alt 'F -4 3 m'
_space_group_IT_number 216
_space_group_name_Hall 'F -4 2 3'
_cell_length_a 7.2256
_cell_length_b 7.2256
_cell_length_c 7.2256
_cell_angle_alpha 90.00
_cell_angle_beta 90.00
_cell_angle_gamma 90.00
loop_
_atom_site_label
_atom_site_type_symbol
_atom_site_fract_x
_atom_site_fract_y
_atom_site_fract_z
Pm1 Pm 0.0000 0.0000 0.0000
Dy1 Dy 0.2500 0.2500 0.2500
Al1 Al 0.2500 0.2500 0.7500
```



No. 2
Compound: PrDyAl6
Source: OQMD via LeMat-Bulk
Functional: GGA-PBE
Structure: relaxed

Results
Total energy in eV per atom: -4.411
M_tot in μB per formula unit: 0.0

Cell and atoms, written as CIF:
```
data_PrDyAl6
_chemical_formula_sum 'Pr1 Dy1 Al6'
_space_group_name_H-M_alt 'P -6 m 2'
_space_group_IT_number 187
_space_group_name_Hall 'P -6 2'
_cell_length_a 6.4340
_cell_length_b 6.4340
_cell_length_c 4.5924
_cell_angle_alpha 90.00
_cell_angle_beta 90.00
_cell_angle_gamma 120.00
loop_
_atom_site_label
_atom_site_type_symbol
_atom_site_fract_x
_atom_site_fract_y
_atom_site_fract_z
Pr1 Pr 0.0000 0.0000 0.0000
Dy1 Dy 0.6667 0.3333 0.5000
Al1 Al 0.0421 0.5211 0.0000
Al2 Al 0.1914 0.3827 0.5000
```



No. 3
Compound: PrDyAl2Pt4
Source: OQMD via LeMat-Bulk
Functional: GGA-PBE
Structure: relaxed

Results
Total energy in eV per atom: -6.273
M_tot in μB per formula unit: 0.0

Cell and atoms, written as CIF:
```
data_PrDyAl2Pt4
_chemical_formula_sum 'Pr1 Dy1 Al2 Pt4'
_space_group_name_H-M_alt 'P -6 m 2'
_space_group_IT_number 187
_space_group_name_Hall 'P -6 2'
_cell_length_a 4.3677
_cell_length_b 4.3677
_cell_length_c 9.5010
_cell_angle_alpha 90.00
_cell_angle_beta 90.00
_cell_angle_gamma 120.00
loop_
_atom_site_label
_atom_site_type_symbol
_atom_site_fract_x
_atom_site_fract_y
_atom_site_fract_z
Pr1 Pr 0.0000 0.0000 0.0000
Dy1 Dy 0.3333 0.6667 0.5000
Al1 Al 0.6667 0.3333 0.2571
Pt1 Pt 0.0000 0.0000 0.3387
Pt2 Pt 0.3333 0.6667 0.1840
```



No. 4
Compound: Dy2Al3Pt4
Source: OQMD via LeMat-Bulk
Functional: GGA-PBE
Structure: relaxed

Results
Total energy in eV per atom: -6.141
M_tot in μB per formula unit: 0.0

Cell and atoms, written as CIF:
```
data_Dy2Al3Pt4
_chemical_formula_sum 'Dy8 Al12 Pt16'
_space_group_name_H-M_alt 'C m c e'
_space_group_IT_number 64
_space_group_name_Hall '-C 2ac 2'
_cell_length_a 5.5990
_cell_length_b 15.3022
_cell_length_c 7.5628
_cell_angle_alpha 90.00
_cell_angle_beta 90.00
_cell_angle_gamma 90.00
loop_
_atom_site_label
_atom_site_type_symbol
_atom_site_fract_x
_atom_site_fract_y
_atom_site_fract_z
Dy1 Dy 0.0000 0.1057 0.0924
Al1 Al 0.0000 0.0000 0.5000
Al2 Al 0.2500 0.2286 0.7500
Pt1 Pt 0.0000 0.1823 0.4725
Pt2 Pt 0.2500 0.0602 0.7500
```



No. 5
Compound: DyAlSiPt2
Source: OQMD via LeMat-Bulk
Functional: GGA-PBE
Structure: relaxed

Results
Total energy in eV per atom: -6.309
M_tot in μB per formula unit: 0.0

Cell and atoms, written as CIF:
```
data_DyAlSiPt2
_chemical_formula_sum 'Dy2 Al2 Si2 Pt4'
_space_group_name_H-M_alt 'P 4/n m m'
_space_group_IT_number 129
_cell_length_a 4.1695
_cell_length_b 4.1695
_cell_length_c 10.3104
_cell_angle_alpha 90.00
_cell_angle_beta 90.00
_cell_angle_gamma 90.00
loop_
_space_group_symop_operation_xyz
'x,y,z'
'-x,-y,-z'
'-y+1/2,x,z'
'y+1/2,-x,-z'
'-x+1/2,-y+1/2,z'
'x+1/2,y+1/2,-z'
'y,-x+1/2,z'
'-y,x+1/2,-z'
'x+1/2,-y,-z'
'-x+1/2,y,z'
'-y,-x,-z'
'y,x,z'
'-x,y+1/2,-z'
'x,-y+1/2,z'
'y+1/2,x+1/2,-z'
'-y+1/2,-x+1/2,z'
loop_
_atom_site_label
_atom_site_type_symbol
_atom_site_fract_x
_atom_site_fract_y
_atom_site_fract_z
Dy1 Dy 0.2500 0.2500 0.2469
Al1 Al 0.2500 0.7500 0.5000
Si1 Si 0.2500 0.2500 0.8695
Pt1 Pt 0.2500 0.2500 0.6412
Pt2 Pt 0.2500 0.7500 0.0000
```



No. 6
Compound: Dy2TmAl3Si2Pt
Source: OQMD via LeMat-Bulk
Functional: GGA-PBE
Structure: relaxed

Results
Total energy in eV per atom: -5.525
M_tot in μB per formula unit: 0.0

Cell and atoms, written as CIF:
```
data_Dy2TmAl3Si2Pt
_chemical_formula_sum 'Dy4 Tm2 Al6 Si4 Pt2'
_space_group_name_H-M_alt 'A m m 2'
_space_group_IT_number 38
_space_group_name_Hall 'A 2 -2'
_cell_length_a 4.2128
_cell_length_b 11.9231
_cell_length_c 6.8890
_cell_angle_alpha 90.00
_cell_angle_beta 90.00
_cell_angle_gamma 90.00
loop_
_atom_site_label
_atom_site_type_symbol
_atom_site_fract_x
_atom_site_fract_y
_atom_site_fract_z
Dy1 Dy 0.0000 0.2087 0.0000
Tm1 Tm 0.0000 0.0000 0.3740
Al1 Al 0.5000 0.0000 0.0287
Al2 Al 0.5000 0.1185 0.6714
Si1 Si 0.5000 0.1652 0.2914
Pt1 Pt 0.0000 0.0000 0.7874
```



| no. | volume (Å³/f.u.) |
| --- | --- |
| 1 | 94.3 |
| 2 | 164.6 |
| 3 | 157.0 |
| 4 | 162.0 |
| 5 | 89.6 |
| 6 | 173.0 |